1.
This record from the Alexandria database describes a relaxed structure of LiAcRh. The functional is PBE.

Cell and atoms, written as POSCAR:
```
LiAcRh
1.0
-2.0652 3.4667 -1.1307
-3.6441 -2.0044 0.5103
-0.2199 2.2907 7.4262
Li Ac Rh
2 2 2
direct
0.0229 0.3379 0.0235
0.5229 0.8379 0.0234
0.0229 0.8378 0.6925
0.5229 0.3378 0.3543
0.0229 0.8378 0.2801
0.5229 0.3377 0.7668
```

Raw total energy (eV/atom): -4.941
Energy of formation (eV/f.u.): -1.5
Symmetry: P4/nmm
Energy above the lowest structure with this stoichiometry (meV per atom): 0.0

2.
This record from the Alexandria database describes a relaxed structure of LiAc6Rh4. The functional is PBE.

Cell and atoms, written as POSCAR:
```
LiAc6Rh4
1.0
4.3470 0.0000 0.0000
-2.1735 7.1846 0.0000
0.0000 0.0000 22.5309
Ac Rh Li
12 8 2
direct
0.5000 0.0000 0.0000
0.7694 0.5388 0.4191
0.3494 0.6988 0.2500
0.7694 0.5388 0.0809
0.9642 0.9283 0.6509
0.2306 0.4612 0.5809
0.6506 0.3012 0.7500
0.0358 0.0717 0.3491
0.2306 0.4612 0.9191
0.0358 0.0717 0.1509
0.9642 0.9283 0.8491
0.5000 0.0000 0.5000
0.5995 0.1991 0.8716
0.5995 0.1991 0.6284
0.4005 0.8009 0.1284
0.1366 0.2732 0.4580
0.8634 0.7268 0.9580
0.8634 0.7268 0.5420
0.4005 0.8009 0.3716
0.1366 0.2732 0.0420
0.3461 0.6923 0.7500
0.6539 0.3077 0.2500
```

Raw total energy (eV/atom): -5.597
Energy of formation (eV/f.u.): -5.6
Symmetry: Cmcm

3.
This record from the Alexandria database describes a relaxed structure of LiAcRh. The functional is PBE.

Cell and atoms, written as POSCAR:
```
LiAcRh
1.0
-0.4338 4.4143 1.7952
-1.4349 0.6128 4.5236
3.0948 1.5548 3.3019
Li Rh Ac
1 1 1
direct
0.5000 0.5000 0.5000
0.2500 0.2500 0.2500
0.0000 0.0000 0.0000
```

Raw total energy (eV/atom): -4.730
Energy of formation (eV/f.u.): -0.8
Symmetry: F-43m
Energy above the lowest structure with this stoichiometry (meV per atom): 211.2

4.
This record from the Alexandria database describes a relaxed structure of LiAcRh. The functional is PBE.

Cell and atoms, written as POSCAR:
```
LiAcRh
1.0
-3.0892 -1.7894 2.0644
0.2459 -3.4942 -2.6607
2.3917 0.1276 3.6895
Rh Li Ac
1 1 1
direct
0.1668 0.6667 0.3333
0.1665 0.0000 0.0000
0.6668 0.3333 0.6667
```

Raw total energy (eV/atom): -4.796
Energy of formation (eV/f.u.): -1.0
Symmetry: P-6m2
Energy above the lowest structure with this stoichiometry (meV per atom): 145.3

5.
This record from the Alexandria database describes a relaxed structure of Li2Ac2Rh3. The functional is PBE.

Cell and atoms, written as POSCAR:
```
Li2Ac2Rh3
1.0
-1.5645 2.1390 3.0614
1.6702 -5.1940 1.8049
5.5664 3.8529 0.1526
Li Ac Rh
2 2 3
direct
0.8520 0.7040 0.7583
0.1480 0.2960 0.2417
0.8774 0.7547 0.2426
0.1226 0.2453 0.7574
0.6294 0.2588 0.4548
0.5000 0.0000 0.0000
0.3706 0.7412 0.5452
```

Raw total energy (eV/atom): -5.203
Energy of formation (eV/f.u.): -2.3
Symmetry: C2/m

6.
This record from the Alexandria database describes a relaxed structure of Li2AcRh2. The functional is PBE.

Cell and atoms, written as POSCAR:
```
Li2AcRh2
1.0
-0.7461 -3.7101 -1.3994
3.9465 0.4108 0.7323
-0.8350 -1.9391 5.5866
Rh Ac Li
2 1 2
direct
0.5000 0.5000 0.7411
0.5000 0.5000 0.2589
0.0000 0.0000 0.0000
0.1805 0.8194 0.5000
0.8194 0.1805 0.5000
```

Raw total energy (eV/atom): -4.798
Energy of formation (eV/f.u.): -1.4
Symmetry: Cmmm
Energy above the lowest structure with this stoichiometry (meV per atom): 21.7

Question: Which of these has the highest raw total energy?
Answer: number 3

Question: Look up the raw total energy of the first one.
Answer: -4.941 eV/atom

Repeat the fourth record exactly.
This record from the Alexandria database describes a relaxed structure of LiAcRh. The functional is PBE.

Cell and atoms, written as POSCAR:
```
LiAcRh
1.0
-3.0892 -1.7894 2.0644
0.2459 -3.4942 -2.6607
2.3917 0.1276 3.6895
Rh Li Ac
1 1 1
direct
0.1668 0.6667 0.3333
0.1665 0.0000 0.0000
0.6668 0.3333 0.6667
```

Raw total energy (eV/atom): -4.796
Energy of formation (eV/f.u.): -1.0
Symmetry: P-6m2
Energy above the lowest structure with this stoichiometry (meV per atom): 145.3